No. 1
Here is a geometry-optimized SrSiS3 structure from Alexandria via LeMat-Bulk. Energies are from PBE.

Summary:
Raw formation energy = -872 meV/atom
Excess energy over the best structure of this formula in the dataset = 1.94 eV per formula unit
Density = 3464 kg/m³

Cell and atoms, written as POSCAR:
```
SrSiS3
1.0
4.6659 0.0000 0.0000
0.0000 4.6659 0.0000
0.0000 0.0000 4.6659
Sr Si S
1 1 3
direct
0.0000 0.0000 0.0000 Sr
0.5000 0.5000 0.5000 Si
0.0000 0.5000 0.5000 S
0.5000 0.0000 0.5000 S
0.5000 0.5000 0.0000 S
```


No. 2
Here is a geometry-optimized Ho2RuCl structure from Alexandria via LeMat-Bulk. Energies are from PBE.

Summary:
Raw formation energy = -988 meV/atom
Excess energy over the best structure of this formula in the dataset = 0.00 eV per formula unit
Density = 8334 kg/m³

Cell and atoms, written as POSCAR:
```
Ho2RuCl
1.0
3.4343 0.0000 0.0000
0.0000 3.3729 0.0000
-0.0083 0.0000 8.0219
Ho Ru Cl
2 1 1
direct
0.0002 0.0000 0.2061 Ho
0.9998 0.0000 0.7939 Ho
0.5000 0.5000 0.0000 Ru
0.0000 0.5000 0.5000 Cl
```


> Which of these has the highest raw formation energy?

SrSiS3


> Which of these has the highest raw formation energy?

SrSiS3


> Among the records above, which one has the lowest density?

SrSiS3